# KSi2Br (SCAN, PBEsol geometry)
# ΔE to the lowest computed polymorph = 0.289 eV per atom
# Raw formation energy = 0.18 eV/atom
# Magnetization = 0.000 μB per atom
# Theoretical density = 2.7 Mg/m³
data_KSi2Br
_cell_length_a 3.932
_cell_length_b 3.932
_cell_length_c 7.085
_cell_angle_alpha 90.00
_cell_angle_beta 90.00
_cell_angle_gamma 90.00
_symmetry_space_group_name_H-M 'P 4/m m m'
_symmetry_Int_Tables_number 123
_symmetry_space_group_name_Hall '-P 4 2'
loop_
_atom_site_label
_atom_site_type_symbol
_atom_site_fract_x
_atom_site_fract_y
_atom_site_fract_z
K1 K 0.000 0.000 0.000
Si1 Si 0.000 0.500 0.500
Br1 Br 0.500 0.500 0.000